Density functional theory data (GGA-PBE) for a geometry-optimized Ac2LuAl structure.

Lattice parameters (Å, degrees): 4.9934 5.1551 5.1551 90.00 90.00 90.00
Fractional positions:
Ac  0.0000  0.0000  0.5000
Ac  0.0000  0.5000  0.0000
Lu  0.5000  0.5000  0.5000
Al  0.5000  0.0000  0.0000

The value obtained for the energy relative to the elements is -0.01 eV per atom.

***

Density functional theory data (GGA-PBE) for a geometry-optimized Ac2LuAl structure.

Lattice parameters (Å, degrees): 3.7115 3.7115 12.3753 81.38 81.38 60.00
Fractional positions:
Ac  0.0983  0.0983  0.7052
Ac  0.9017  0.9017  0.2948
Lu  0.0000  0.0000  0.0000
Al  0.5000  0.5000  0.5000

The value obtained for the energy relative to the elements is 0.28 eV per atom.

***

Density functional theory data (GGA-PBE) for a geometry-optimized AcLu2Al structure.

Lattice parameters (Å, degrees): 4.9422 4.8748 4.8748 90.00 90.00 90.00
Fractional positions:
Ac  0.5000  0.5000  0.5000
Lu  0.0000  0.0000  0.5000
Lu  0.0000  0.5000  0.0000
Al  0.5000  0.0000  0.0000

The value obtained for the energy relative to the elements is -0.04 eV per atom.

***

Density functional theory data (GGA-PBE) for a geometry-optimized AcLuMgAl structure.

Lattice parameters (Å, degrees): 5.4105 5.4105 5.4105 60.00 60.00 60.00
Fractional positions:
Mg  0.0000  0.0000  0.0000
Ac  0.7500  0.7500  0.7500
Lu  0.2500  0.2500  0.2500
Al  0.5000  0.5000  0.5000

The value obtained for the energy relative to the elements is -0.15 eV per atom.

***

Copy entry 4 word for word.
Density functional theory data (GGA-PBE) for a geometry-optimized AcLuMgAl structure.

Lattice parameters (Å, degrees): 5.4105 5.4105 5.4105 60.00 60.00 60.00
Fractional positions:
Mg  0.0000  0.0000  0.0000
Ac  0.7500  0.7500  0.7500
Lu  0.2500  0.2500  0.2500
Al  0.5000  0.5000  0.5000

The value obtained for the energy relative to the elements is -0.15 eV per atom.

***

Q: Which value of energy relative to the elements does entry 4 give?
A: -0.15 eV per atom

***

Q: The highest energy relative to the elements belongs to which entry?
A: number 2